Crystalline SrDyPO at its relaxed geometry. Source: OQMD via LeMat-Bulk, functional PBE.

The space group is Pmc2_1 (No. 26) and the conventional cell measures 4.045, 6.603 and 7.049 Å, with angles of 90.00, 90.00 and 90.00 degrees. The inequivalent atoms are Sr at (0.000, 0.050, 0.000), Dy at (0.500, 0.379, 0.354), P at (0.500, 0.232, 0.724) and O at (0.000, 0.265, 0.283).

The calculated density is 5.242 g/cm³. The energy above the most stable polymorph in this dataset is 93.4 meV/atom.